# 1
## YGaHg2 (PBE)

Data for a geometry-optimized YGaHg2 structure.

- energy of formation from the pure elements (eV/f.u.) = -1.36
- space group = P2_1/m
- calculated total energy (Ha/atom) = -0.105
- size of the total moment (μB per cell) = 0.0

Geometry as CIF:
```
data_YGaHg2
_chemical_formula_sum 'Y2 Ga2 Hg4'
_cell_length_a 4.4418
_cell_length_b 4.3848
_cell_length_c 9.7449
_cell_angle_alpha 98.46
_cell_angle_beta 90.00
_cell_angle_gamma 90.00
_space_group_name_H-M_alt 'P 1'
_space_group_IT_number 1
_space_group_name_Hall 'P 1'
loop_
_atom_site_label
_atom_site_fract_x
_atom_site_fract_y
_atom_site_fract_z
Y1 0.2500 0.6694 0.2542
Y2 0.7500 0.3306 0.7458
Hg1 0.2500 0.2453 0.4983
Hg2 0.7500 0.7847 0.0284
Hg3 0.7500 0.7547 0.5017
Hg4 0.2500 0.2153 0.9716
Ga1 0.7500 0.1895 0.2933
Ga2 0.2500 0.8105 0.7067
```


# 2
## YGaHg (PBE)

Data for a geometry-optimized YGaHg structure.

- energy of formation from the pure elements (eV/f.u.) = -1.55
- space group = Imm2
- calculated total energy (Ha/atom) = -0.139
- size of the total moment (μB per cell) = 0.0

Geometry as CIF:
```
data_YGaHg
_chemical_formula_sum 'Y2 Ga2 Hg2'
_cell_length_a 4.6178
_cell_length_b 5.9157
_cell_length_c 5.9157
_cell_angle_alpha 104.03
_cell_angle_beta 67.05
_cell_angle_gamma 112.94
_space_group_name_H-M_alt 'P 1'
_space_group_IT_number 1
_space_group_name_Hall 'P 1'
loop_
_atom_site_label
_atom_site_fract_x
_atom_site_fract_y
_atom_site_fract_z
Y1 0.6568 0.8186 0.7951
Y2 0.6630 0.3249 0.2889
Hg1 0.3292 0.2119 0.8439
Hg2 0.3289 0.7700 0.4019
Ga1 0.9912 0.4435 0.7514
Ga2 0.9909 0.8624 0.1702
```


Look up the energy of formation from the pure elements of the second one. -1.55 eV/f.u.